The following is a PBE-GGA calculation of a geometry-optimized PAuS2 structure, from Alexandria via LeMat-Bulk.

Calculated values
ΔE_f (raw): -14 meV/atom
E: -17.00 eV per cell

Cell: 4.589 4.821 5.806 Å, 89.49 81.33 61.78°
Space group P1 (No. 1)
One atom of each set of equivalent atoms:
P 0.000 0.000 0.000 x1
Au 0.396 0.202 0.001 x1
S 0.266 0.632 0.747 x1
S 0.752 0.888 0.276 x1